#A
The following is a DFT calculation (PBE) of Hf2Al2Os after structural relaxation.

Lattice parameters (Å, degrees): 6.7398 6.7398 3.8492 90.00 90.00 90.00
Space group P4/mbm (No. 127)
Unique sites:
Hf 0.1706 0.3294 0.0000
Al 0.1333 0.6333 0.5000
Os 0.0000 0.0000 0.5000

---

#B
The following is a DFT calculation (PBE) of Hf2Al2Os after structural relaxation.

Lattice parameters (Å, degrees): 3.8535 3.8535 12.6446 90.00 90.00 90.00
Space group I4/mmm (No. 139)
Unique sites:
Hf 0.0000 0.5000 0.2500
Al 0.0000 0.0000 0.0912
Os 0.0000 0.0000 0.5000

---

So which one wins? Going from most stable to least: #A, #B.

---

#A
The following is a DFT calculation (PBE) of Hf2Al2Os after structural relaxation.

Lattice parameters (Å, degrees): 7.4247 7.4247 3.4494 90.00 90.00 90.00
Space group P4/mbm (No. 127)
Unique sites:
Hf 0.1794 0.3206 0.0000
Al 0.1208 0.6208 0.5000
Os 0.0000 0.0000 0.0000

---

#B
The following is a DFT calculation (PBE) of Hf2Al2Os after structural relaxation.

Lattice parameters (Å, degrees): 3.4354 3.4354 16.0422 90.00 90.00 90.00
Space group I4/mmm (No. 139)
Unique sites:
Hf 0.0000 0.0000 0.0969
Al 0.0000 0.5000 0.2500
Os 0.0000 0.0000 0.5000

---

So which one wins? Going from most stable to least: #B, #A.